No. 1
Crystalline Cs2LaPbBr6 at its relaxed geometry, computed with PBE.

a b c (Å): 8.6015 8.6015 8.6015
angles (deg): 118.58 118.58 92.47
Last column: nearest neighbours and their distance in Å.
Atoms (fractional coordinates):
1 Cs 0.2500 0.7500 0.5000  12 Br 4.30-4.39
2 Cs 0.7500 0.2500 0.5000  12 Br 4.30-4.39
3 La 0.0000 0.0000 0.0000  6 Br 2.94
4 Pb 0.5000 0.5000 0.0000  6 Br 3.01-3.27
5 Br 0.2369 0.2369 0.4739  1 La 2.94, 1 Pb 3.27
6 Br 0.2369 0.7631 0.0000  1 La 2.94, 1 Pb 3.27
7 Br 0.2471 0.2471 0.0000  1 La 2.94, 1 Pb 3.01
8 Br 0.7529 0.7529 0.0000  1 La 2.94, 1 Pb 3.01
9 Br 0.7631 0.2369 0.0000  1 La 2.94, 1 Pb 3.27
10 Br 0.7631 0.7631 0.5261  1 La 2.94, 1 Pb 3.27

Values from the calculation:
As for the space group: No. 139. The value obtained for the uncorrected formation energy is -1.5132 eV per atom. The magnetization comes out at 1.0 μB per cell.



No. 2
Crystalline Cs2LaReBr6 at its relaxed geometry, computed with PBE.

a b c (Å): 7.8131 7.8131 7.8131
angles (deg): 60.00 60.00 60.00
Last column: nearest neighbours and their distance in Å.
Atoms (fractional coordinates):
1 Cs 0.2500 0.2500 0.2500  12 Br 3.91
2 Cs 0.7500 0.7500 0.7500  12 Br 3.91
3 La 0.0000 0.0000 0.0000  6 Br 2.94
4 Re 0.5000 0.5000 0.5000  6 Br 2.59
5 Br 0.2658 0.2658 0.7342  1 Re 2.59
6 Br 0.2658 0.7342 0.2658  1 Re 2.59
7 Br 0.2658 0.7342 0.7342  1 Re 2.59
8 Br 0.7342 0.2658 0.2658  1 Re 2.59
9 Br 0.7342 0.2658 0.7342  1 Re 2.59
10 Br 0.7342 0.7342 0.2658  1 Re 2.59

Values from the calculation:
As for the space group: No. 225. The value obtained for the uncorrected formation energy is -1.0867 eV per atom. The magnetization comes out at 0.0 μB per cell.



No. 3
Crystalline CsLaSBr2 at its relaxed geometry, computed with PBE.

a b c (Å): 6.0413 6.0413 5.4724
angles (deg): 90.00 90.00 90.00
Last column: nearest neighbours and their distance in Å.
Atoms (fractional coordinates):
1 Cs 0.0000 0.0000 0.0000  8 Br 4.08, 4 S 4.27
2 La 0.5000 0.5000 0.5000  2 S 2.74, 4 Br 3.02
3 S 0.5000 0.5000 0.0000  2 La 2.74
4 Br 0.0000 0.5000 0.5000  2 La 3.02
5 Br 0.5000 0.0000 0.5000  2 La 3.02

Values from the calculation:
As for the space group: No. 123. The value obtained for the uncorrected formation energy is -1.8614 eV per atom. The magnetization comes out at 0.0 μB per cell.



No. 4
Crystalline Cs2LaSbBr6 at its relaxed geometry, computed with PBE.

a b c (Å): 8.6284 8.6284 8.6284
angles (deg): 116.56 116.56 96.06
Last column: nearest neighbours and their distance in Å.
Atoms (fractional coordinates):
1 Cs 0.2500 0.7500 0.5000  12 Br 4.32-4.54
2 Cs 0.7500 0.2500 0.5000  12 Br 4.32-4.54
3 La 0.0000 0.0000 0.0000  6 Br 2.91-2.96
4 Sb 0.5000 0.5000 0.0000  2 Br 2.81
5 Br 0.2272 0.2272 0.4544  1 La 2.91
6 Br 0.2272 0.7728 0.0000  1 La 2.91
7 Br 0.2564 0.2564 0.0000  1 Sb 2.81, 1 La 2.96
8 Br 0.7436 0.7436 0.0000  1 Sb 2.81, 1 La 2.96
9 Br 0.7728 0.2272 0.0000  1 La 2.91
10 Br 0.7728 0.7728 0.5456  1 La 2.91

Values from the calculation:
As for the space group: No. 139. The value obtained for the uncorrected formation energy is -1.3979 eV per atom. The magnetization comes out at 2.0 μB per cell.



No. 5
Crystalline Cs2LaScBr at its relaxed geometry, computed with PBE.

a b c (Å): 6.8625 6.8625 4.8357
angles (deg): 90.00 90.00 90.00
Last column: nearest neighbours and their distance in Å.
Atoms (fractional coordinates):
1 Cs 0.0000 0.5000 0.0000  2 Sc 3.43
2 Cs 0.5000 0.0000 0.0000  2 Sc 3.43
3 La 0.0000 0.0000 0.5000  8 Cs 4.20
4 Sc 0.5000 0.5000 0.0000  2 Br 2.42
5 Br 0.5000 0.5000 0.5000  2 Sc 2.42

Values from the calculation:
As for the space group: No. 123. The excess energy over the best structure of this formula in the dataset comes out at 186 meV/atom. The value obtained for the uncorrected formation energy is 0.5980 eV per atom. The magnetization comes out at 1.1 μB per cell.



No. 6
Crystalline Cs2LaScBr at its relaxed geometry, computed with PBE.

a b c (Å): 7.5437 7.5437 5.3600
angles (deg): 90.00 90.00 90.00
Last column: nearest neighbours and their distance in Å.
Atoms (fractional coordinates):
1 Cs 0.0000 0.5000 0.0000  2 La 3.77
2 Cs 0.5000 0.0000 0.0000  2 La 3.77
3 La 0.0000 0.0000 0.0000  2 Sc 2.68
4 Sc 0.0000 0.0000 0.5000  2 La 2.68
5 Br 0.5000 0.5000 0.5000  8 Cs 4.63

Values from the calculation:
As for the space group: No. 123. The excess energy over the best structure of this formula in the dataset comes out at 0 meV/atom. The value obtained for the uncorrected formation energy is 0.4115 eV per atom. The magnetization comes out at 0.0 μB per cell.



No. 7
Crystalline CsLaSe2Br at its relaxed geometry, computed with PBE.

a b c (Å): 5.7948 5.7948 6.0606
angles (deg): 90.00 90.00 90.00
Last column: nearest neighbours and their distance in Å.
Atoms (fractional coordinates):
1 Cs 0.0000 0.0000 0.0000  4 Br 4.10, 8 Se 4.19
2 La 0.5000 0.5000 0.5000  4 Se 2.90, 2 Br 3.03
3 Se 0.0000 0.5000 0.5000  2 La 2.90
4 Se 0.5000 0.0000 0.5000  2 La 2.90
5 Br 0.5000 0.5000 0.0000  2 La 3.03

Values from the calculation:
As for the space group: No. 123. The value obtained for the uncorrected formation energy is -1.4714 eV per atom. The magnetization comes out at 0.4 μB per cell.



No. 8
Crystalline CsLa2SeBr at its relaxed geometry, computed with PBE.

a b c (Å): 5.6382 5.6382 6.8900
angles (deg): 90.00 90.00 90.00
Last column: nearest neighbours and their distance in Å.
Atoms (fractional coordinates):
1 Cs 0.0000 0.0000 0.0000  4 Se 3.99, 8 La 4.45
2 La 0.0000 0.5000 0.5000  2 Br 2.82
3 La 0.5000 0.0000 0.5000  2 Br 2.82
4 Se 0.5000 0.5000 0.0000  2 Br 3.44
5 Br 0.5000 0.5000 0.5000  4 La 2.82

Values from the calculation:
As for the space group: No. 123. The value obtained for the uncorrected formation energy is -0.3314 eV per atom. The magnetization comes out at 0.0 μB per cell.